# Ca2TmAg, optimized geometry, DFT PBE-GGA
data_Ca2TmAg
_symmetry_space_group_name_H-M 'P 1'
_symmetry_Int_Tables_number 1
_symmetry_space_group_name_Hall 'P 1'
_cell_length_a 3.576
_cell_length_b 3.576
_cell_length_c 9.579
_cell_angle_alpha 90.00
_cell_angle_beta 90.00
_cell_angle_gamma 90.00
loop_
_atom_site_label
_atom_site_type_symbol
_atom_site_fract_x
_atom_site_fract_y
_atom_site_fract_z
Ca1 Ca 0.000 0.000 0.794
Ca2 Ca 0.000 0.000 0.206
Tm1 Tm 0.500 0.500 0.500
Ag1 Ag 0.500 0.500 0.000
# Space-group type: P4/mmm (123)
# ρ in Mg/m³: 4.8
# ΔE_f in eV per atom: -0.042
# Excess energy over the best structure of this formula in the dataset in eV per atom: 0.000
# Energy in eV/cell: -11.5